First-principles (PBE) data for an optimized crystal structure of SrCaZr, as listed in the Alexandria database.

Cell lengths 5.0439, 6.0605, 14.3500 Å; angles 90.00, 90.00, 90.00 degrees
With the nearest neighbours (Å) after each atom.
Fractional coordinates of all 12 atoms:
Sr: 0.7500 0.2500 0.4748  3 Zr 3.64-3.82, 4 Ca 3.70-3.80, 4 Sr 4.01
Sr: 0.2500 0.2500 0.0252  3 Zr 3.64-3.82, 4 Ca 3.70-3.80, 4 Sr 4.01
Sr: 0.2500 0.7500 0.5252  3 Zr 3.64-3.82, 4 Ca 3.70-3.80, 4 Sr 4.01
Sr: 0.7500 0.7500 0.9748  3 Zr 3.64-3.82, 4 Ca 3.70-3.80, 4 Sr 4.01
Zr: 0.7500 0.2500 0.2083  2 Zr 2.79
Zr: 0.2500 0.2500 0.2917  2 Zr 2.79
Zr: 0.2500 0.7500 0.7917  2 Zr 2.79
Zr: 0.7500 0.7500 0.7083  2 Zr 2.79
Ca: 0.2500 0.2500 0.6729  2 Ca 3.35, 2 Zr 3.48, 2 Sr 3.70
Ca: 0.2500 0.7500 0.1729  2 Ca 3.35, 2 Zr 3.48, 2 Sr 3.70
Ca: 0.7500 0.2500 0.8271  2 Ca 3.35, 2 Zr 3.48, 2 Sr 3.70
Ca: 0.7500 0.7500 0.3271  2 Ca 3.35, 2 Zr 3.48, 2 Sr 3.70

Properties
Offset from the most stable computed form ... 0.557 eV per formula unit
Formation energy from the elements ... 109 kJ/mol of formula units
SG ... Cmcm (63)